Here is a geometry-optimized GaSe2N structure from the Alexandria database. Energies are from PBE.

```
GaSe2N
1.0
1.787 0.000 8.645
-0.893 1.548 8.645
-0.893 -1.548 8.645
Se Ga N
2 1 1
Direct
0.110 0.110 0.110
0.890 0.890 0.890
0.000 0.000 0.000
0.500 0.500 0.500
```

The raw formation energy is 1.00 eV/atom. As for the polymorph energy (0 for the lowest one): 0.386 eV/atom. Its magnetization is 0.00 μB/atom. Its raw total energy is -3.585 eV/atom.

Here is a geometry-optimized GaSe2N structure from the Alexandria database. Energies are from PBE.

```
GaSe2N
1.0
0.000 3.195 3.195
3.195 0.000 3.195
3.195 3.195 0.000
Se N Ga
2 1 1
Direct
0.750 0.750 0.750
0.250 0.250 0.250
0.000 0.000 0.000
0.500 0.500 0.500
```

The raw formation energy is 1.25 eV/atom. As for the polymorph energy (0 for the lowest one): 0.645 eV/atom. Its magnetization is 0.34 μB/atom. Its raw total energy is -3.326 eV/atom.

Here is a geometry-optimized GaSe2N2 structure from the Alexandria database. Energies are from PBE.

```
GaSe2N2
1.0
3.769 0.000 0.000
0.000 3.769 0.000
0.000 0.000 7.533
Se Ga N
2 1 2
Direct
0.500 0.500 0.500
0.000 0.000 0.500
0.000 0.000 0.000
0.500 0.000 0.000
0.000 0.500 0.000
```

The raw formation energy is 1.25 eV/atom. As for the polymorph energy (0 for the lowest one): 0.000 eV/atom. Its magnetization is 0.44 μB/atom. Its raw total energy is -4.084 eV/atom.

Here is a geometry-optimized GaSe2N2 structure from the Alexandria database. Energies are from PBE.

```
GaSe2N2
1.0
5.224 0.000 0.000
0.000 5.224 0.000
0.000 0.000 3.647
Se N Ga
2 2 1
Direct
0.500 0.000 0.000
0.000 0.500 0.000
0.000 0.000 0.500
0.500 0.500 0.500
0.000 0.000 0.000
```

The raw formation energy is 1.82 eV/atom. As for the polymorph energy (0 for the lowest one): 0.577 eV/atom. Its magnetization is 0.55 μB/atom. Its raw total energy is -3.507 eV/atom.